Below is a geometry-optimized ZrP2OF structure, with properties calculated at the GGA-PBE level.

Values from the calculation:
* theoretical density: 2.88 g cm⁻³
* offset from the most stable computed form: 0.000 eV per atom
* total moment: 1.46 μB per formula unit
* formation energy (no corrections): -0.354 eV per atom

Unit cell a=5.1899 b=5.1899 c=4.0224 alpha=90.00 beta=90.00 gamma=90.00
Last column: nearest neighbours and their distance in Å.
Sites, in units of the cell vectors:
P (0.0000, 0.5000, 0.0000)  2 Zr 2.59
P (0.5000, 0.0000, 0.0000)  2 Zr 2.59
Zr (0.0000, 0.0000, 0.0000)  2 O 2.01
O (0.0000, 0.0000, 0.5000)  2 Zr 2.01
F (0.5000, 0.5000, 0.5000)  8 P 3.28, 4 O 3.67